NaVNO2: optimized geometry, PBE+U. Values from VASP.

Geometry as Quantum ESPRESSO input:
```
&SYSTEM
  ibrav = 0, nat = 5, ntyp = 4
/
ATOMIC_SPECIES
Na 22.99 Na.upf
N 14.01 N.upf
O 16.00 O.upf
V 50.94 V.upf
ATOMIC_POSITIONS angstrom
Na 0.000 0.000 0.000
N 1.949 -0.497 -0.344
O -0.581 -1.306 -1.406
O -0.123 -1.441 1.389
V 1.245 -3.244 -0.361
CELL_PARAMETERS angstrom
-0.245 -2.882 2.777
-1.162 -2.611 -2.812
3.899 -0.995 -0.688
```

- Energy: -4.43 eV/atom